No. 1
First-principles (PBE) data for a geometry-optimized CrCuPd structure, as listed in Alexandria via LeMat-Bulk.

Results
DOS at the Fermi energy   1.85 states/eV/f.u.
Mass density   9.353 g/cm³
E   -6.046 eV per atom
Space group   P3m1

Cell lengths 2.551, 4.224, 4.224 Å; angles 120.00, 90.00, 90.00 degrees
Fractional coordinates of all 3 atoms:
Cr  0.653  0.333  0.667
Pd  0.063  0.000  0.000
Cu  0.284  0.667  0.333



No. 2
First-principles (PBE) data for a geometry-optimized LiLaCd2 structure, as listed in Alexandria via LeMat-Bulk.

Results
DOS at the Fermi energy   1.67 states/eV/f.u.
Mass density   5.997 g/cm³
E   -2.263 eV per atom
Space group   R-3m

Cell lengths 10.101, 10.101, 10.101 Å; angles 19.72, 19.72, 19.72 degrees
Fractional coordinates of all 4 atoms:
Li  0.750  0.750  0.750
La  0.250  0.250  0.250
Cd  0.489  0.489  0.489
Cd  0.011  0.011  0.011



No. 3
First-principles (PBE) data for a geometry-optimized CdAsS2 structure, as listed in Alexandria via LeMat-Bulk.

Results
DOS at the Fermi energy   2.55 states/eV/f.u.
Mass density   4.526 g/cm³
Space group   R-3m
Formation energy without anion corrections   43 meV/atom

Cell lengths 8.637, 8.637, 8.637 Å; angles 23.82, 23.82, 23.82 degrees
Fractional coordinates of all 4 atoms:
Cd  0.000  0.000  0.000
As  0.500  0.500  0.500
S  0.893  0.893  0.893
S  0.107  0.107  0.107



No. 4
First-principles (PBE) data for a geometry-optimized CoOs2Ru structure, as listed in Alexandria via LeMat-Bulk.

Results
DOS at the Fermi energy   3.91 states/eV/f.u.
Mass density   16.801 g/cm³
E   -9.542 eV per atom
Space group   I4/mmm

Cell lengths 4.634, 4.634, 4.634 Å; angles 132.29, 132.29, 69.77 degrees
Fractional coordinates of all 4 atoms:
Os  0.500  0.500  0.000
Os  0.000  0.000  0.000
Ru  0.250  0.750  0.500
Co  0.750  0.250  0.500



No. 5
First-principles (PBE) data for a geometry-optimized Sc3SeO structure, as listed in Alexandria via LeMat-Bulk.

Results
DOS at the Fermi energy   2.41 states/eV/f.u.
Mass density   3.723 g/cm³
Space group   P2_1/m
Formation energy without anion corrections   -1725 meV/atom

Cell lengths 3.630, 5.755, 11.052 Å; angles 117.39, 90.00, 90.00 degrees
Fractional coordinates of all 10 atoms:
Sc  0.250  0.089  0.407
Sc  0.750  0.748  0.034
Sc  0.250  0.252  0.966
Sc  0.750  0.509  0.259
Sc  0.250  0.491  0.741
Sc  0.750  0.911  0.593
Se  0.750  0.875  0.826
Se  0.250  0.125  0.174
O  0.250  0.104  0.605
O  0.750  0.896  0.395



No. 6
First-principles (PBE) data for a geometry-optimized InMoPb2 structure, as listed in Alexandria via LeMat-Bulk.

Results
DOS at the Fermi energy   2.95 states/eV/f.u.
Mass density   10.786 g/cm³
E   -4.734 eV per atom
Space group   Pm

Cell lengths 4.710, 3.726, 5.802 Å; angles 70.97, 90.00, 90.00 degrees
Fractional coordinates of all 4 atoms:
Mo  0.500  0.555  0.767
Pb  0.500  0.279  0.321
Pb  0.000  0.970  0.932
In  0.000  0.697  0.480



No. 7
First-principles (PBE) data for a geometry-optimized BeCr2Au structure, as listed in Alexandria via LeMat-Bulk.

Results
DOS at the Fermi energy   2.83 states/eV/f.u.
Mass density   10.491 g/cm³
E   -6.417 eV per atom
Space group   I4/mmm

Cell lengths 4.840, 4.840, 4.840 Å; angles 138.60, 138.60, 59.98 degrees
Fractional coordinates of all 4 atoms:
Cr  0.500  0.500  0.000
Cr  0.000  0.000  0.000
Be  0.750  0.250  0.500
Au  0.250  0.750  0.500



No. 8
First-principles (PBE) data for a geometry-optimized Nd6Si2SBr3 structure, as listed in Alexandria via LeMat-Bulk.

Results
DOS at the Fermi energy   5.23 states/eV/f.u.
Mass density   5.858 g/cm³
Space group   C2/m
Formation energy without anion corrections   -1282 meV/atom

Cell lengths 7.276, 7.276, 7.768 Å; angles 98.99, 98.99, 120.01 degrees
Fractional coordinates of all 12 atoms:
Br  0.500  0.500  0.500
Br  0.170  0.830  0.500
Br  0.830  0.170  0.500
Nd  0.932  0.600  0.795
Nd  0.600  0.932  0.795
Nd  0.737  0.737  0.205
Nd  0.400  0.068  0.205
Nd  0.263  0.263  0.795
Nd  0.068  0.400  0.205
Si  0.334  0.666  0.000
Si  0.666  0.334  0.000
S  0.000  0.000  0.000